Record 1
Computed, not measured: a geometry-optimized Be2TcSb structure at the PBE level of DFT.

Output
**Crystal system**: cubic
**Magnetic moment**: 0.0 Bohr magnetons per cell
**Symmetry**: No. 216

Structure (POSCAR):
```
Be2TcSb
1.0
3.118 -1.236 2.683
-0.983 -1.355 3.956
0.437 -4.150 1.019
Tc Be Sb
1 2 1
direct
0.250 0.250 0.250
0.000 0.000 0.000
0.750 0.750 0.750
0.500 0.500 0.500
```

=====

Record 2
Computed, not measured: a geometry-optimized Rb2Cd3Sn5 structure at the PBE level of DFT.

Output
**Crystal system**: orthorhombic
**Symmetry**: No. 72

Structure (POSCAR):
```
Rb2Cd3Sn5
1.0
-6.246 7.109 3.552
6.246 -7.109 3.552
6.246 7.109 -3.552
Sn Rb Cd
10 4 6
direct
0.623 0.134 0.757
0.123 0.366 0.489
0.877 0.634 0.511
0.250 0.250 0.000
0.377 0.866 0.243
0.001 0.750 0.251
0.999 0.250 0.749
0.750 0.750 0.000
0.499 0.750 0.749
0.501 0.250 0.251
0.625 0.749 0.374
0.375 0.251 0.626
0.875 0.249 0.125
0.125 0.751 0.875
0.875 0.866 0.741
0.250 0.750 0.500
0.125 0.134 0.259
0.625 0.366 0.991
0.750 0.250 0.500
0.375 0.634 0.009
```

=====

Record 3
Computed, not measured: a geometry-optimized Nb2Sb structure at the PBE level of DFT.

Output
**Crystal system**: cubic
**Magnetic moment**: 0.0 Bohr magnetons per cell
**Symmetry**: No. 225

Structure (POSCAR):
```
Nb2Sb
1.0
0.000 3.229 3.229
3.229 0.000 3.229
3.229 3.229 0.000
Nb Sb
2 1
direct
0.250 0.250 0.250
0.750 0.750 0.750
0.000 0.000 0.000
```

=====

| no. | uncorrected energy (eV/f.u.) |
| --- | --- |
| 1 | -19.7 |
| 2 | -26.3 |
| 3 | -22.9 |